The following is a DFT calculation (PBE-GGA) of an optimized crystal structure of Cs2DyInCl6.

Cell lengths 7.925, 8.175, 13.826 Å; angles 90.00, 124.87, 90.00 degrees
Sites, in units of the cell vectors:
Cs (0.236, 0.053, 0.250)
Cs (0.236, 0.447, 0.750)
Cs (0.764, 0.553, 0.250)
Cs (0.764, 0.947, 0.750)
Dy (0.500, 0.000, 0.000)
Dy (0.500, 0.500, 0.500)
In (0.000, 0.000, 0.500)
In (0.000, 0.500, 0.000)
Cl (0.193, 0.185, 0.963)
Cl (0.193, 0.315, 0.463)
Cl (0.278, 0.732, 0.960)
Cl (0.278, 0.768, 0.460)
Cl (0.347, 0.019, 0.772)
Cl (0.347, 0.481, 0.272)
Cl (0.653, 0.519, 0.728)
Cl (0.653, 0.981, 0.228)
Cl (0.722, 0.232, 0.540)
Cl (0.722, 0.268, 0.040)
Cl (0.807, 0.685, 0.537)
Cl (0.807, 0.815, 0.037)

Values from the calculation:
Raw formation energy = -19.34 eV per formula unit
M_tot = 0.000 μB/atom
Calculated volume = 367 Å³/f.u.
E = -3.947 eV/atom